Material: AlV6Sn
Method: DFT, meta-GGA SCAN
State: single point on PBEsol structure

It has space group Pm-3 (No. 200), with a = 4.8270 Å, b = 4.8270 Å, c = 4.8270 Å, α = 90.00°, β = 90.00° and γ = 90.00°. The distinct sites, in fractional coordinates, are Al at (0.0000, 0.0000, 0.0000), V at (0.0000, 0.2354, 0.5000) and Sn at (0.5000, 0.5000, 0.5000).

The calculation puts the total energy at -149.783 eV per formula unit. For the magnetic moment, the calculation gives 2.69 μB per cell. The value obtained for the formation energy is -148 meV per atom.

Material: AlZn3Sn
Method: DFT, meta-GGA SCAN
State: single point on PBEsol structure

It has space group Pm-3m (No. 221), with a = 4.7720 Å, b = 4.7720 Å, c = 4.7720 Å, α = 90.00°, β = 90.00° and γ = 90.00°. The distinct sites, in fractional coordinates, are Al at (0.0000, 0.0000, 0.0000), Zn at (0.0000, 0.0000, 0.5000) and Sn at (0.5000, 0.5000, 0.5000).

The calculation puts the total energy at -81.504 eV per formula unit. For the magnetic moment, the calculation gives 0.00 μB per cell. The value obtained for the formation energy is 543 meV per atom.